Entry from Alexandria via LeMat-Bulk: GaAgAu after structural relaxation (PBE).

Unit cell a=4.435 b=4.435 c=7.187 alpha=104.66 beta=104.66 gamma=59.17
Sites, in units of the cell vectors:
Ga  0.000  0.000  0.000
Ga  0.570  0.570  0.670
Ag  0.124  0.124  0.436
Ag  0.412  0.412  0.280
Au  0.292  0.292  0.833
Au  0.699  0.699  0.112

Calculated values
Calculated total energy (eV/cell): -18.51
Calculated density (g cm⁻³): 10.71
Space-group type: No. 8
ΔH_f (0 K) (meV per atom): -34
Relative energy among the computed polymorphs (meV/atom): 73.3

***

Entry from Alexandria via LeMat-Bulk: Ga2Ag5Au5 after structural relaxation (PBE).

Unit cell a=7.001 b=7.001 c=8.412 alpha=119.26 beta=119.26 gamma=37.23
Sites, in units of the cell vectors:
Ga  0.159  0.159  0.015
Ga  0.841  0.841  0.985
Ag  0.327  0.327  0.504
Ag  0.412  0.412  0.246
Ag  0.500  0.500  0.000
Ag  0.588  0.588  0.754
Ag  0.673  0.673  0.496
Au  0.000  0.000  0.500
Au  0.074  0.074  0.245
Au  0.246  0.246  0.782
Au  0.754  0.754  0.218
Au  0.926  0.926  0.755

Calculated values
Calculated total energy (eV/cell): -37.52
Calculated density (g cm⁻³): 12.93
Space-group type: No. 12
ΔH_f (0 K) (meV per atom): -69
Relative energy among the computed polymorphs (meV/atom): 0.0

***

Entry from Alexandria via LeMat-Bulk: Ga3Ag4Au5 after structural relaxation (PBE).

Unit cell a=6.995 b=6.995 c=9.173 alpha=124.38 beta=124.38 gamma=40.43
Sites, in units of the cell vectors:
Ga  0.000  0.000  0.000
Ga  0.065  0.065  0.684
Ga  0.935  0.935  0.316
Ag  0.265  0.265  0.268
Ag  0.290  0.290  0.981
Ag  0.710  0.710  0.019
Ag  0.735  0.735  0.732
Au  0.191  0.191  0.519
Au  0.465  0.465  0.659
Au  0.500  0.500  0.000
Au  0.535  0.535  0.341
Au  0.809  0.809  0.481

Calculated values
Calculated total energy (eV/cell): -36.52
Calculated density (g cm⁻³): 11.61
Space-group type: No. 12
ΔH_f (0 K) (meV per atom): 29